# ScRu2Cl PBE-GGA optimized geometry
# DOS at the Fermi energy: 3.0 states/eV/f.u.
# M_tot: 0.00 μB per cell
# Raw formation energy: 32.9 kJ per mole of atoms
data_ScRu2Cl
_chemical_formula_sum 'Sc4 Ru8 Cl4'
_cell_length_a 7.3585
_cell_length_b 7.3585
_cell_length_c 4.9721
_cell_angle_alpha 90.00
_cell_angle_beta 90.00
_cell_angle_gamma 90.00
_symmetry_space_group_name_H-M 'I -4 2 d'
_symmetry_Int_Tables_number 122
_symmetry_space_group_name_Hall 'I -4 2bw'
loop_
_atom_site_label
_atom_site_fract_x
_atom_site_fract_y
_atom_site_fract_z
Sc1 0.0000 0.0000 0.0000
Ru1 0.1718 0.2500 0.6250
Cl1 0.0000 0.0000 0.5000